Record 1
A relaxed structure of PmGe2Ru3. Source: the Alexandria database, functional PBE.

Results
VASP energy = -7.397 eV/atom
M_tot = 0.45 μB/f.u.

a b c (Å): 5.6192 5.6192 3.8374
angles (deg): 90.00 90.00 120.00
Space group P6/mmm (No. 191)
One atom of each set of equivalent atoms:
Pm  0.0000  0.0000  0.0000
Ge  0.3333  0.6667  0.0000
Ru  0.0000  0.5000  0.5000

---

Record 2
A relaxed structure of Mg2NpTl3S6. Source: the Alexandria database, functional PBE.

Results
ΔE_f (raw) = -0.93 eV/atom
VASP energy = -4.934 eV/atom
M_tot = 2.00 μB/f.u.

a b c (Å): 6.6783 11.5669 7.8260
angles (deg): 90.00 106.42 90.00
Space group C2/m (No. 12)
One atom of each set of equivalent atoms:
Mg  0.0000  0.1664  0.0000
Np  0.0000  0.5000  0.0000
Tl  0.0000  0.0000  0.5000
Tl  0.0000  0.3317  0.5000
S  0.2281  0.3357  0.1906
S  0.2355  0.0000  0.1936

---

Record 3
A relaxed structure of SbPbCl2. Source: the Alexandria database, functional PBE.

Results
ΔE_f (raw) = -0.28 eV/atom
VASP energy = -3.163 eV/atom
M_tot = 0.00 μB/f.u.
Offset from the most stable computed form = 255 meV/atom

a b c (Å): 8.2204 8.2204 6.7357
angles (deg): 90.00 90.00 90.00
Space group I-42d (No. 122)
One atom of each set of equivalent atoms:
Sb  0.0000  0.0000  0.0000
Pb  0.0000  0.0000  0.5000
Cl  0.2451  0.2500  0.1250

---

Record 4
A relaxed structure of ScPRu2. Source: the Alexandria database, functional PBE.

Results
VASP energy = -8.125 eV/atom
M_tot = 0.00 μB/f.u.

a b c (Å): 4.2184 4.2184 3.1682
angles (deg): 90.00 90.00 90.00
Space group P4/mmm (No. 123)
One atom of each set of equivalent atoms:
Sc  0.0000  0.0000  0.0000
P  0.5000  0.5000  0.0000
Ru  0.0000  0.5000  0.5000